Below is TlGaMo2Se at its PBEsol-relaxed geometry, with properties calculated at the meta-GGA SCAN level.

abc: 4.626 4.626 5.515
angles: 90.00 90.00 90.00
Site moments in Bohr magnetons follow the coordinates.
Positions (direct):
Tl: 0.000 0.000 0.500  -0.02
Ga: 0.500 0.500 0.500  0.01
Mo: 0.000 0.500 0.000  2.17
Mo: 0.500 0.000 0.000  2.17
Se: 0.000 0.000 0.000  -0.10

Calculated values
V = 118 Å³ per cell
ρ = 7.67 g cm⁻³
raw formation energy = 1.29 eV per atom
VASP energy = -34.422 eV/atom
size of the total moment = 4.52 μB/f.u.

***

Below is GaSiMo3 at its PBEsol-relaxed geometry, with properties calculated at the meta-GGA SCAN level.

abc: 4.443 4.443 4.443
angles: 90.00 90.00 90.00
Positions (direct):
Mo: 0.000 0.500 0.000
Mo: 0.000 0.000 0.500
Mo: 0.500 0.000 0.000
Si: 0.000 0.000 0.000
Ga: 0.500 0.500 0.500

Calculated values
V = 88 Å³ per cell
ρ = 7.30 g cm⁻³
raw formation energy = 1.00 eV per atom
ΔE to the lowest computed polymorph = 0 meV per atom
VASP energy = -25.207 eV/atom
size of the total moment = 0.00 μB/f.u.

***

Below is TaGa2Mo2 at its PBEsol-relaxed geometry, with properties calculated at the meta-GGA SCAN level.

abc: 3.329 6.772 6.772
angles: 90.00 90.00 90.00
Positions (direct):
Mo: 0.500 0.174 0.674
Mo: 0.500 0.674 0.826
Mo: 0.500 0.826 0.326
Mo: 0.500 0.326 0.174
Ga: 0.000 0.373 0.873
Ga: 0.000 0.873 0.627
Ga: 0.000 0.627 0.127
Ga: 0.000 0.127 0.373
Ta: 0.000 0.000 0.000
Ta: 0.000 0.500 0.500

Calculated values
V = 153 Å³ per cell
formation energy from the elements = -0.177 eV/atom
ρ = 11.14 g cm⁻³
VASP energy = -33.987 eV/atom
size of the total moment = 0.00 μB/f.u.

***

Below is GaTc3Mo at its PBEsol-relaxed geometry, with properties calculated at the meta-GGA SCAN level.

abc: 4.382 4.382 4.382
angles: 90.00 90.00 90.00
Positions (direct):
Mo: 0.500 0.500 0.500
Tc: 0.000 0.500 0.000
Tc: 0.000 0.000 0.500
Tc: 0.500 0.000 0.000
Ga: 0.000 0.000 0.000

Calculated values
V = 84 Å³ per cell
formation energy from the elements = 1.555 eV/atom
ρ = 9.07 g cm⁻³
ΔE to the lowest computed polymorph = 0 meV per atom
VASP energy = -29.727 eV/atom
size of the total moment = 0.00 μB/f.u.

***

Below is GaTc3Mo at its PBEsol-relaxed geometry, with properties calculated at the meta-GGA SCAN level.

abc: 4.584 4.584 4.584
angles: 90.00 90.00 90.00
Site moments in Bohr magnetons follow the coordinates.
Positions (direct):
Mo: 0.000 0.000 0.000  -0.21
Tc: 0.000 0.500 0.000  0.97
Tc: 0.000 0.000 0.500  0.97
Tc: 0.500 0.000 0.000  0.97
Ga: 0.500 0.500 0.500  -0.01

Calculated values
V = 96 Å³ per cell
formation energy from the elements = 1.716 eV/atom
ρ = 7.92 g cm⁻³
ΔE to the lowest computed polymorph = 161 meV per atom
VASP energy = -29.567 eV/atom
size of the total moment = 2.80 μB/f.u.

***

Below is GaTe2Mo at its PBEsol-relaxed geometry, with properties calculated at the meta-GGA SCAN level.

abc: 3.363 3.363 10.138
angles: 80.45 80.45 60.00
Positions (direct):
Mo: 0.500 0.500 0.500
Te: 0.897 0.897 0.310
Te: 0.103 0.103 0.690
Ga: 0.000 0.000 0.000

Calculated values
V = 97 Å³ per cell
ρ = 7.17 g cm⁻³
raw formation energy = 0.11 eV per atom
VASP energy = -31.323 eV/atom
size of the total moment = 0.00 μB/f.u.

***

Below is GaTe2Mo at its PBEsol-relaxed geometry, with properties calculated at the meta-GGA SCAN level.

abc: 3.548 3.548 9.028
angles: 78.67 78.67 60.00
Positions (direct):
Mo: 0.000 0.000 0.000
Te: 0.903 0.903 0.290
Te: 0.097 0.097 0.710
Ga: 0.500 0.500 0.500

Calculated values
V = 96 Å³ per cell
ρ = 7.29 g cm⁻³
raw formation energy = 0.89 eV per atom
VASP energy = -30.548 eV/atom
size of the total moment = 0.00 μB/f.u.

***

Below is GaTeMo3 at its PBEsol-relaxed geometry, with properties calculated at the meta-GGA SCAN level.

abc: 4.603 4.603 4.603
angles: 90.00 90.00 90.00
Site moments in Bohr magnetons follow the coordinates.
Positions (direct):
Mo: 0.000 0.500 0.000  0.78
Mo: 0.000 0.000 0.500  0.78
Mo: 0.500 0.000 0.000  0.78
Te: 0.500 0.500 0.500  0.00
Ga: 0.000 0.000 0.000  0.02

Calculated values
V = 98 Å³ per cell
ρ = 8.26 g cm⁻³
raw formation energy = 1.52 eV per atom
VASP energy = -30.128 eV/atom
size of the total moment = 2.62 μB/f.u.

***

Below is TiGa2Mo at its PBEsol-relaxed geometry, with properties calculated at the meta-GGA SCAN level.

abc: 4.381 4.381 4.381
angles: 60.00 60.00 60.00
Positions (direct):
Mo: 0.500 0.500 0.500
Ga: 0.250 0.250 0.250
Ga: 0.750 0.750 0.750
Ti: 0.000 0.000 0.000

Calculated values
V = 59 Å³ per cell
formation energy from the elements = -0.179 eV/atom
ρ = 7.91 g cm⁻³
VASP energy = -21.081 eV/atom
size of the total moment = 0.00 μB/f.u.

***

Below is TiGa2Mo2 at its PBEsol-relaxed geometry, with properties calculated at the meta-GGA SCAN level.

abc: 3.393 6.656 6.656
angles: 90.00 90.00 90.00
Positions (direct):
Mo: 0.500 0.173 0.673
Mo: 0.500 0.673 0.827
Mo: 0.500 0.827 0.327
Mo: 0.500 0.327 0.173
Ga: 0.000 0.371 0.871
Ga: 0.000 0.871 0.629
Ga: 0.000 0.629 0.129
Ga: 0.000 0.129 0.371
Ti: 0.000 0.000 0.000
Ti: 0.000 0.500 0.500

Calculated values
V = 150 Å³ per cell
formation energy from the elements = -0.317 eV/atom
ρ = 8.38 g cm⁻³
VASP energy = -24.015 eV/atom
size of the total moment = 0.00 μB/f.u.

***

Below is TlGaMo2 at its PBEsol-relaxed geometry, with properties calculated at the meta-GGA SCAN level.

abc: 4.526 4.526 4.526
angles: 60.00 60.00 60.00
Positions (direct):
Tl: 0.500 0.500 0.500
Mo: 0.250 0.250 0.250
Mo: 0.750 0.750 0.750
Ga: 0.000 0.000 0.000

Calculated values
V = 66 Å³ per cell
formation energy from the elements = 0.674 eV/atom
ρ = 11.80 g cm⁻³
VASP energy = -38.944 eV/atom
size of the total moment = 0.00 μB/f.u.

***

Below is Y2TlGaMo at its PBEsol-relaxed geometry, with properties calculated at the meta-GGA SCAN level.

abc: 4.837 5.631 5.631
angles: 90.00 90.00 90.00
Site moments in Bohr magnetons follow the coordinates.
Positions (direct):
Y: 0.000 0.000 0.500  0.04
Y: 0.000 0.500 0.000  0.04
Tl: 0.000 0.000 0.000  0.01
Mo: 0.500 0.500 0.500  3.85
Ga: 0.500 0.000 0.000  -0.03

Calculated values
V = 153 Å³ per cell
formation energy from the elements = 0.943 eV/atom
ρ = 5.93 g cm⁻³
VASP energy = -34.912 eV/atom
size of the total moment = 4.68 μB/f.u.